The following is a DFT calculation (PBE) of an optimized crystal structure of Ta2AgIr2.

Distance to the lowest polymorph of the same formula, meV/atom: 122.2
Volume, Å³ per atom: 17.6
ΔH_f (0 K), eV/atom: -0.22
Final energy, eV/atom: -9.08
DOS(E_F), states/eV per cell: 5.55

Lattice parameters (Å, degrees): 7.8704 7.8704 2.8491 90.00 90.00 90.00
Atoms (fractional coordinates):
Ta1 0.1499 0.3501 0.0000
Ta2 0.3501 0.8501 0.0000
Ta3 0.6499 0.1499 0.0000
Ta4 0.8501 0.6499 0.0000
Ag1 0.0000 0.0000 0.0000
Ag2 0.5000 0.5000 0.0000
Ir1 0.1416 0.6416 0.5000
Ir2 0.3584 0.1416 0.5000
Ir3 0.6416 0.8584 0.5000
Ir4 0.8584 0.3584 0.5000